Record 1
Compound: BC2
Source: Alexandria
Functional: GGA-PBE
Structure: optimized geometry

abc: 2.6122 2.6122 14.3186
angles: 90.00 90.00 120.00
With the nearest neighbours (Å) after each atom.
Element x y z (fractional)
B 0.0000 0.0000 0.0000  3 C 1.52
B 0.0000 0.0000 0.2478  3 C 1.51
B 0.3333 0.6667 0.3658  1 C 1.57
B 0.6667 0.3333 0.4365  1 C 1.58
C 0.0000 0.0000 0.5832  4 C 1.55-1.60
C 0.0000 0.0000 0.6912  4 C 1.55-1.59
C 0.3333 0.6667 0.2561  4 B 1.51-1.57
C 0.3333 0.6667 0.7270  4 C 1.55-1.59
C 0.3333 0.6667 0.8352  4 C 1.55-1.59
C 0.6667 0.3333 0.5470  1 B 1.58, 3 C 1.60
C 0.6667 0.3333 0.8707  4 C 1.59-1.64
C 0.6667 0.3333 0.9851  3 B 1.52, 1 C 1.64

Summary:
space-group type: P3m1 (156)
crystal system: trigonal
energy above the most stable polymorph in this dataset: 0.037 eV per atom
volume: 7.05 A^3/atom
energy of formation: 277 meV per atom


Record 2
Compound: SbAsBr2
Source: Alexandria
Functional: GGA-PBE
Structure: optimized geometry

abc: 3.4887 4.8303 5.9620
angles: 90.00 90.00 90.00
With the nearest neighbours (Å) after each atom.
Element x y z (fractional)
Sb 0.0000 0.0000 0.0000  4 Br 2.98
As 0.5000 0.0000 0.5000  4 Br 2.98
Br 0.0000 0.5000 0.5000  4 As 2.98
Br 0.5000 0.5000 0.0000  4 Sb 2.98

Summary:
space-group type: Pmmm (47)
crystal system: orthorhombic
energy above the most stable polymorph in this dataset: 0.510 eV per atom
volume: 25.12 A^3/atom
raw formation energy: 0.241 eV/atom


Record 3
Compound: NdHo2Sb
Source: Alexandria
Functional: GGA-PBE
Structure: optimized geometry

abc: 9.8583 9.8583 9.8583
angles: 23.45 23.45 23.45
With the nearest neighbours (Å) after each atom.
Element x y z (fractional)
Nd 0.0000 0.0000 0.0000  6 Ho 3.67-3.70, 6 Nd 4.01
Ho 0.2341 0.2341 0.2341  3 Sb 3.00
Ho 0.4340 0.4340 0.4340  3 Sb 3.01
Sb 0.8344 0.8344 0.8344  6 Ho 3.00-3.01

Summary:
space-group type: R3m (160)
crystal system: trigonal
energy above the most stable polymorph in this dataset: 0.224 eV per atom
volume: 33.30 A^3/atom
raw formation energy: -0.335 eV/atom


Record 4
Compound: HfSc2Ag2S6
Source: Alexandria
Functional: GGA-PBE
Structure: optimized geometry

abc: 6.3925 6.3925 6.4278
angles: 90.36 90.36 119.95
With the nearest neighbours (Å) after each atom.
Element x y z (fractional)
Hf 0.0000 0.0000 0.0000  6 S 2.55
Sc 0.3330 0.6670 0.0000  6 S 2.59-2.60
Sc 0.6670 0.3330 0.0000  6 S 2.59-2.60
Ag 0.3321 0.6679 0.5000  6 S 2.75-2.81
Ag 0.6679 0.3321 0.5000  6 S 2.75-2.81
S 0.0024 0.6745 0.2261  1 Hf 2.55, 2 Sc 2.59, 2 Ag 2.75-2.81
S 0.3255 0.9976 0.7739  1 Hf 2.55, 2 Sc 2.59, 2 Ag 2.75-2.81
S 0.3307 0.3307 0.2263  1 Hf 2.55, 2 Sc 2.60, 2 Ag 2.77
S 0.6693 0.6693 0.7737  1 Hf 2.55, 2 Sc 2.60, 2 Ag 2.77
S 0.6745 0.0024 0.2261  1 Hf 2.55, 2 Sc 2.59, 2 Ag 2.75-2.81
S 0.9976 0.3255 0.7739  1 Hf 2.55, 2 Sc 2.59, 2 Ag 2.75-2.81

Summary:
space-group type: C2/m (12)
crystal system: monoclinic
volume: 20.69 A^3/atom
raw formation energy: -1.311 eV/atom


Record 5
Compound: Nd6TlPb2
Source: Alexandria
Functional: GGA-PBE
Structure: optimized geometry

abc: 8.6764 8.6764 4.5801
angles: 90.00 90.00 120.00
With the nearest neighbours (Å) after each atom.
Element x y z (fractional)
Nd 0.0000 0.2576 0.0000  2 Tl 3.20, 2 Pb 3.27
Nd 0.0000 0.5920 0.5000  4 Pb 3.49, 1 Tl 3.54, 6 Nd 3.70-3.85
Nd 0.2576 0.0000 0.0000  2 Tl 3.20, 2 Pb 3.27
Nd 0.4080 0.4080 0.5000  4 Pb 3.49, 1 Tl 3.54, 6 Nd 3.70-3.85
Nd 0.5920 0.0000 0.5000  4 Pb 3.49, 1 Tl 3.54, 6 Nd 3.70-3.85
Nd 0.7424 0.7424 0.0000  2 Tl 3.20, 2 Pb 3.27
Tl 0.0000 0.0000 0.5000  9 Nd 3.20-3.54
Pb 0.3333 0.6667 0.0000  9 Nd 3.27-3.49
Pb 0.6667 0.3333 0.0000  9 Nd 3.27-3.49

Summary:
space-group type: P-62m (189)
crystal system: hexagonal
volume: 33.18 A^3/atom
energy of formation: -377 meV per atom


Record 6
Compound: ErNb2S6
Source: Alexandria
Functional: GGA-PBE
Structure: optimized geometry

abc: 6.5706 6.5706 8.8357
angles: 116.82 116.82 40.48
With the nearest neighbours (Å) after each atom.
Element x y z (fractional)
Er 0.0000 0.0000 0.0000  6 S 2.73-2.79
Nb 0.1683 0.1683 0.6141  4 S 2.33-2.41
Nb 0.8317 0.8317 0.3859  4 S 2.33-2.41
S 0.0198 0.0198 0.7056  1 Nb 2.33
S 0.3022 0.3022 0.4492  3 Nb 2.41-2.68
S 0.3503 0.3503 0.8902  1 Nb 2.39
S 0.6497 0.6497 0.1098  1 Nb 2.39
S 0.6978 0.6978 0.5508  3 Nb 2.41-2.68
S 0.9802 0.9802 0.2944  1 Nb 2.33

Summary:
space-group type: C2/m (12)
crystal system: monoclinic
volume: 24.13 A^3/atom
raw formation energy: -1.030 eV/atom


Record 7
Compound: Pa2CoSi4Ir3
Source: Alexandria
Functional: GGA-PBE
Structure: optimized geometry

abc: 4.0695 4.0695 9.9173
angles: 90.00 90.00 90.00
With the nearest neighbours (Å) after each atom.
Element x y z (fractional)
Pa 0.0000 0.5000 0.2457  8 Si 3.10-3.24, 6 Ir 3.13-3.17, 2 Co 3.17
Pa 0.5000 0.0000 0.7543  8 Si 3.10-3.24, 6 Ir 3.13-3.17, 2 Co 3.17
Co 0.5000 0.5000 0.0000  4 Si 2.40
Si 0.0000 0.0000 0.5000  4 Ir 2.42
Si 0.0000 0.5000 0.8719  3 Ir 2.39-2.40, 2 Co 2.40
Si 0.5000 0.0000 0.1281  3 Ir 2.39-2.40, 2 Co 2.40
Si 0.5000 0.5000 0.5000  4 Ir 2.42
Ir 0.0000 0.0000 0.0000  4 Si 2.40
Ir 0.0000 0.5000 0.6314  5 Si 2.39-2.42
Ir 0.5000 0.0000 0.3686  5 Si 2.39-2.42

Summary:
space-group type: P-4m2 (115)
crystal system: tetragonal
volume: 16.42 A^3/atom
raw formation energy: -0.929 eV/atom


Record 8
Compound: Rb2AuCl
Source: Alexandria
Functional: GGA-PBE
Structure: optimized geometry

abc: 13.3968 13.3968 4.8459
angles: 90.00 90.00 159.39
With the nearest neighbours (Å) after each atom.
Element x y z (fractional)
Rb 0.0662 0.9338 0.7500  1 Cl 3.26, 6 Au 3.51-3.58
Rb 0.3153 0.6847 0.7500  5 Cl 3.31-3.41
Rb 0.6847 0.3153 0.2500  5 Cl 3.31-3.41
Rb 0.9338 0.0662 0.2500  1 Cl 3.26, 6 Au 3.51-3.58
Au 0.4652 0.5348 0.7500  2 Au 3.04
Au 0.5348 0.4652 0.2500  2 Au 3.04
Cl 0.1897 0.8103 0.7500  6 Rb 3.26-3.41
Cl 0.8103 0.1897 0.2500  6 Rb 3.26-3.41

Summary:
space-group type: Cmcm (63)
crystal system: orthorhombic
energy above the most stable polymorph in this dataset: 0.000 eV per atom
volume: 38.27 A^3/atom
raw formation energy: -1.111 eV/atom


Record 9
Compound: Ca2LaPN
Source: Alexandria
Functional: GGA-PBE
Structure: optimized geometry

abc: 5.9767 5.9767 4.1329
angles: 90.00 90.00 90.00
With the nearest neighbours (Å) after each atom.
Element x y z (fractional)
Ca 0.0000 0.5000 0.0000  2 La 2.99
Ca 0.5000 0.0000 0.0000  2 La 2.99
La 0.0000 0.0000 0.0000  2 N 2.07
P 0.5000 0.5000 0.5000  8 Ca 3.63
N 0.0000 0.0000 0.5000  2 La 2.07

Summary:
space-group type: P4/mmm (123)
crystal system: tetragonal
energy above the most stable polymorph in this dataset: 1.514 eV per atom
volume: 29.53 A^3/atom
raw formation energy: 0.561 eV/atom


Record 10
Compound: Sr2TcSb
Source: Alexandria
Functional: GGA-PBE
Structure: optimized geometry

abc: 5.2614 5.2614 5.2614
angles: 60.00 60.00 60.00
With the nearest neighbours (Å) after each atom.
Element x y z (fractional)
Sr 0.0000 0.0000 0.0000  4 Tc 3.22, 4 Sr 3.22
Sr 0.2500 0.2500 0.2500  4 Sb 3.22, 4 Sr 3.22
Tc 0.7500 0.7500 0.7500  4 Sr 3.22, 4 Sb 3.22
Sb 0.5000 0.5000 0.5000  4 Tc 3.22, 4 Sr 3.22

Summary:
space-group type: F-43m (216)
crystal system: cubic
volume: 25.75 A^3/atom
raw formation energy: 0.248 eV/atom


Record 11
Compound: Pr6CoNi2
Source: Alexandria
Functional: GGA-PBE
Structure: optimized geometry

abc: 6.6706 7.3076 12.1206
angles: 90.00 121.06 90.00
With the nearest neighbours (Å) after each atom.
Element x y z (fractional)
Pr 0.0949 0.0472 0.2505  1 Co 2.78, 2 Ni 2.87-2.94
Pr 0.0949 0.4528 0.7505  1 Co 2.78, 2 Ni 2.87-2.94
Pr 0.2529 0.6776 0.0777  1 Co 2.76, 2 Ni 2.90-2.96
Pr 0.2529 0.8224 0.5777  1 Co 2.76, 2 Ni 2.90-2.96
Pr 0.3999 0.1790 0.0706  1 Co 2.68, 1 Ni 2.86
Pr 0.3999 0.3210 0.5706  1 Co 2.68, 1 Ni 2.86
Pr 0.6001 0.6790 0.4294  1 Co 2.68, 1 Ni 2.86
Pr 0.6001 0.8210 0.9294  1 Co 2.68, 1 Ni 2.86
Pr 0.7471 0.1776 0.4223  1 Co 2.76, 2 Ni 2.90-2.96
Pr 0.7471 0.3224 0.9223  1 Co 2.76, 2 Ni 2.90-2.96
Pr 0.9051 0.5472 0.2495  1 Co 2.78, 2 Ni 2.87-2.94
Pr 0.9051 0.9528 0.7495  1 Co 2.78, 2 Ni 2.87-2.94
Co 0.0000 0.0000 0.0000  6 Pr 2.68-2.78
Co 0.0000 0.5000 0.5000  6 Pr 2.68-2.78
Ni 0.3227 0.1131 0.7643  6 Pr 2.86-3.05
Ni 0.3227 0.3869 0.2643  6 Pr 2.86-3.05
Ni 0.6773 0.6131 0.7357  6 Pr 2.86-3.05
Ni 0.6773 0.8869 0.2357  6 Pr 2.86-3.05

Summary:
space-group type: P2_1/c (14)
crystal system: monoclinic
volume: 28.12 A^3/atom
energy of formation: -114 meV per atom


Record 12
Compound: YPt3O
Source: Alexandria
Functional: GGA-PBE
Structure: optimized geometry

abc: 5.1336 5.1336 5.1336
angles: 90.00 90.00 90.00
With the nearest neighbours (Å) after each atom.
Element x y z (fractional)
Y 0.0000 0.0000 0.0000  6 Pt 2.57
Pt 0.0000 0.0000 0.5000  2 Y 2.57
Pt 0.0000 0.5000 0.0000  2 Y 2.57
Pt 0.5000 0.0000 0.0000  2 Y 2.57
O 0.5000 0.5000 0.5000  12 Pt 3.63

Summary:
space-group type: Pm-3m (221)
crystal system: cubic
energy above the most stable polymorph in this dataset: 1.973 eV per atom
volume: 27.06 A^3/atom
raw formation energy: 1.635 eV/atom


Record 13
Compound: MgTc4Ni
Source: Alexandria
Functional: GGA-PBE
Structure: optimized geometry

abc: 5.1140 5.1140 5.1140
angles: 60.00 60.00 60.00
With the nearest neighbours (Å) after each atom.
Element x y z (fractional)
Mg 0.0000 0.0000 0.0000  12 Tc 3.00, 4 Ni 3.13
Tc 0.3755 0.3755 0.3755  6 Tc 2.55-2.57
Tc 0.3755 0.3755 0.8734  6 Tc 2.55-2.57
Tc 0.3755 0.8734 0.3755  6 Tc 2.55-2.57
Tc 0.8734 0.3755 0.3755  6 Tc 2.55-2.57
Ni 0.7500 0.7500 0.7500  12 Tc 3.00, 4 Mg 3.13

Summary:
space-group type: F-43m (216)
crystal system: cubic
volume: 15.76 A^3/atom
energy of formation: 405 meV per atom


Record 14
Compound: Ba3TlSn8
Source: Alexandria
Functional: GGA-PBE
Structure: optimized geometry

abc: 6.4998 6.4998 10.5293
angles: 90.00 90.00 120.00
With the nearest neighbours (Å) after each atom.
Element x y z (fractional)
Ba 0.0000 0.0000 0.0000  12 Sn 3.78-3.81, 4 Ba 3.93-4.05
Ba 0.0000 0.0000 0.3731  12 Sn 3.71-3.83, 1 Ba 3.93, 3 Tl 3.95
Ba 0.3333 0.6667 0.8550  12 Sn 3.73-3.93, 1 Tl 3.85, 3 Ba 4.05
Tl 0.3333 0.6667 0.4891  12 Sn 3.71-3.83, 4 Ba 3.85-3.95
Sn 0.0044 0.5022 0.1837  6 Sn 3.21-3.36
Sn 0.3198 0.1599 0.6813  6 Sn 3.12-3.38
Sn 0.4978 0.5022 0.1837  6 Sn 3.21-3.36
Sn 0.4978 0.9956 0.1837  6 Sn 3.21-3.36
Sn 0.6667 0.3333 0.4468  6 Sn 3.15-3.36
Sn 0.6667 0.3333 0.9372  6 Sn 3.22-3.33
Sn 0.8401 0.1599 0.6813  6 Sn 3.12-3.38
Sn 0.8401 0.6802 0.6813  6 Sn 3.12-3.38

Summary:
space-group type: P3m1 (156)
crystal system: trigonal
volume: 32.10 A^3/atom
energy of formation: -413 meV per atom


Record 15
Compound: ScRe2TcF
Source: Alexandria
Functional: GGA-PBE
Structure: optimized geometry

abc: 4.6372 4.6372 5.2707
angles: 90.00 90.00 90.00
With the nearest neighbours (Å) after each atom.
Element x y z (fractional)
Sc 0.0000 0.0000 0.0000  2 Tc 2.64
Re 0.0000 0.5000 0.5000  2 Tc 2.32
Re 0.5000 0.0000 0.5000  2 Tc 2.32
Tc 0.0000 0.0000 0.5000  4 Re 2.32
F 0.5000 0.5000 0.0000  4 Sc 3.28, 8 Re 3.51

Summary:
space-group type: P4/mmm (123)
crystal system: tetragonal
volume: 22.67 A^3/atom
raw formation energy: 1.228 eV/atom


Record 16
Compound: BeTeOs2
Source: Alexandria
Functional: GGA-PBE
Structure: optimized geometry

abc: 3.1915 4.0841 4.7603
angles: 90.00 90.00 90.00
With the nearest neighbours (Å) after each atom.
Element x y z (fractional)
Be 0.0000 0.0000 0.0000  4 Os 2.59, 4 Te 2.87
Te 0.5000 0.0000 0.5000  4 Os 2.59, 4 Be 2.87
Os 0.0000 0.5000 0.5000  4 Te 2.59, 4 Os 2.87
Os 0.5000 0.5000 0.0000  4 Be 2.59, 4 Os 2.87

Summary:
space-group type: Pmmm (47)
crystal system: orthorhombic
energy above the most stable polymorph in this dataset: 0.462 eV per atom
volume: 15.51 A^3/atom
raw formation energy: 0.920 eV/atom


Record 17
Compound: NdEuGe4O12
Source: Alexandria
Functional: GGA-PBE
Structure: optimized geometry

abc: 5.3193 5.3193 7.5307
angles: 90.00 90.00 90.00
With the nearest neighbours (Å) after each atom.
Element x y z (fractional)
Nd 0.0000 0.0000 0.0000  12 O 2.64-2.66
Eu 0.5000 0.5000 0.5000  12 O 2.66-2.68
Ge 0.0000 0.5000 0.2512  6 O 1.87-1.89
Ge 0.0000 0.5000 0.7488  6 O 1.87-1.89
Ge 0.5000 0.0000 0.2512  6 O 1.87-1.89
Ge 0.5000 0.0000 0.7488  6 O 1.87-1.89
O 0.0000 0.5000 0.0000  2 Ge 1.89
O 0.0000 0.5000 0.5000  2 Ge 1.87
O 0.2485 0.2485 0.2474  2 Ge 1.88
O 0.2485 0.2485 0.7526  2 Ge 1.88
O 0.2485 0.7515 0.2474  2 Ge 1.88
O 0.2485 0.7515 0.7526  2 Ge 1.88
O 0.5000 0.0000 0.0000  2 Ge 1.89
O 0.5000 0.0000 0.5000  2 Ge 1.87
O 0.7515 0.2485 0.2474  2 Ge 1.88
O 0.7515 0.2485 0.7526  2 Ge 1.88
O 0.7515 0.7515 0.2474  2 Ge 1.88
O 0.7515 0.7515 0.7526  2 Ge 1.88

Summary:
space-group type: P4/mmm (123)
crystal system: tetragonal
volume: 11.84 A^3/atom
raw formation energy: -1.703 eV/atom


Record 18
Compound: AgBAsCl2
Source: Alexandria
Functional: GGA-PBE
Structure: optimized geometry

abc: 5.2688 5.2688 4.2874
angles: 90.00 90.00 90.00
With the nearest neighbours (Å) after each atom.
Element x y z (fractional)
Ag 0.0000 0.0000 0.0000  2 B 2.14
B 0.0000 0.0000 0.5000  2 Ag 2.14
As 0.5000 0.5000 0.5000  8 Cl 3.40, 4 B 3.73
Cl 0.0000 0.5000 0.0000  2 Ag 2.63
Cl 0.5000 0.0000 0.0000  2 Ag 2.63

Summary:
space-group type: P4/mmm (123)
crystal system: tetragonal
volume: 23.80 A^3/atom
raw formation energy: 1.046 eV/atom


Record 19
Compound: Sm4Cd
Source: Alexandria
Functional: GGA-PBE
Structure: optimized geometry

abc: 12.0035 12.0035 12.0035
angles: 162.45 162.45 24.92
With the nearest neighbours (Å) after each atom.
Element x y z (fractional)
Sm 0.0884 0.0884 0.0000  4 Cd 3.32, 8 Sm 3.61-3.66
Sm 0.3043 0.3043 0.0000  12 Sm 3.61-3.66
Sm 0.6957 0.6957 0.0000  12 Sm 3.61-3.66
Sm 0.9116 0.9116 0.0000  4 Cd 3.32, 8 Sm 3.61-3.66
Cd 0.5000 0.5000 0.0000  8 Sm 3.32, 4 Cd 3.66

Summary:
space-group type: I4/mmm (139)
crystal system: tetragonal
energy above the most stable polymorph in this dataset: 0.000 eV per atom
volume: 31.44 A^3/atom
energy of formation: -114 meV per atom


Record 20
Compound: In2BrCl
Source: Alexandria
Functional: GGA-PBE
Structure: optimized geometry

abc: 4.0858 3.9627 7.7661
angles: 90.00 92.00 90.00
With the nearest neighbours (Å) after each atom.
Element x y z (fractional)
In 0.1241 0.0000 0.2588  2 Cl 3.10, 2 Br 3.25
In 0.8759 0.0000 0.7412  2 Cl 3.10, 2 Br 3.25
Br 0.5000 0.5000 0.0000  4 In 3.25
Cl 0.5000 0.5000 0.5000  4 In 3.10

Summary:
space-group type: P2/m (10)
crystal system: monoclinic
energy above the most stable polymorph in this dataset: 0.042 eV per atom
volume: 31.42 A^3/atom
raw formation energy: -0.691 eV/atom